(1)
LaMoPtS2 after structural relaxation, computed with PBE.

SG ... P4/mmm, No. 123
ΔE_f (raw) ... 0.58 eV per atom

Unit cell a=4.8367 b=5.2955 c=4.8367 alpha=90.00 beta=90.00 gamma=90.00
Last column: magnetic moment on the atom in μB.
Fractional positions:
Mo 0.5000 0.5000 0.5000  3.36
Pt 0.0000 0.0000 0.0000  -0.04
La 0.0000 0.5000 0.0000  0.04
S 0.5000 0.0000 0.0000  -0.03
S 0.0000 0.0000 0.5000  -0.01

(2)
Mg2CoCu after structural relaxation, computed with PBE.

SG ... F-43m, No. 216
Uncorrected energy ... -13.75 eV/cell

Unit cell a=4.3618 b=4.3618 c=4.3618 alpha=60.00 beta=60.00 gamma=60.00
Last column: magnetic moment on the atom in μB.
Fractional positions:
Mg 0.2500 0.2500 0.2500  -0.01
Mg 0.0000 0.0000 0.0000  0.00
Co 0.5000 0.5000 0.5000  0.37
Cu 0.7500 0.7500 0.7500  0.00

(3)
CeHo2Re after structural relaxation, computed with PBE.

SG ... R-3m, No. 166
Uncorrected energy ... -24.57 eV/cell

Unit cell a=3.1511 b=3.1511 c=11.4041 alpha=82.06 beta=82.06 gamma=60.00
Fractional positions:
Ho 0.0800 0.0800 0.7599
Ho 0.9200 0.9200 0.2401
Re 0.0000 0.0000 0.0000
Ce 0.5000 0.5000 0.5000

(4)
Ac3Zn3Cu8 after structural relaxation, computed with PBE.

SG ... Immm, No. 71
Uncorrected energy ... -51.20 eV/cell

Unit cell a=4.3140 b=8.4819 c=8.4819 alpha=65.21 beta=75.27 gamma=75.27
Fractional positions:
Cu 0.1569 0.4880 0.1982
Zn 0.0000 0.1963 0.8037
Cu 0.8431 0.8018 0.5120
Ac 0.2060 0.7940 0.7940
Cu 0.6212 0.0955 0.6620
Zn 0.5000 0.0000 0.0000
Zn 0.0000 0.8037 0.1963
Ac 0.5000 0.5000 0.5000
Cu 0.6212 0.6620 0.0955
Cu 0.3788 0.3380 0.9045
Cu 0.8431 0.5120 0.8018
Ac 0.7940 0.2060 0.2060
Cu 0.1569 0.1982 0.4880
Cu 0.3788 0.9045 0.3380

(5)
Hg2PdF6 after structural relaxation, computed with PBE.

SG ... P4_2/mnm, No. 136
Offset from the most stable computed form ... 0 meV per atom
ΔE_f (raw) ... -1.31 eV per atom

Unit cell a=5.2287 b=5.2287 c=10.9051 alpha=90.00 beta=90.00 gamma=90.00
Last column: magnetic moment on the atom in μB.
Fractional positions:
Hg 0.0000 0.0000 0.6659  0.03
F 0.3135 0.3135 0.6579  0.08
F 0.7961 0.2039 0.5000  0.07
F 0.1865 0.8135 0.1579  0.08
F 0.6865 0.6865 0.6579  0.08
F 0.7039 0.7039 0.0000  0.07
F 0.6865 0.6865 0.3421  0.08
Pd 0.5000 0.5000 0.5000  1.43
F 0.2961 0.2961 0.0000  0.07
Hg 0.0000 0.0000 0.3341  0.03
F 0.8135 0.1865 0.1579  0.08
Hg 0.5000 0.5000 0.8341  0.03
F 0.8135 0.1865 0.8421  0.08
F 0.2039 0.7961 0.5000  0.07
Pd 0.0000 0.0000 0.0000  1.43
F 0.1865 0.8135 0.8421  0.08
Hg 0.5000 0.5000 0.1659  0.03
F 0.3135 0.3135 0.3421  0.08

(6)
In2RuW after structural relaxation, computed with PBE.

SG ... F-43m, No. 216
Offset from the most stable computed form ... 439 meV per atom

Unit cell a=4.6624 b=4.6624 c=4.6624 alpha=60.00 beta=60.00 gamma=60.00
Fractional positions:
In 0.0000 0.0000 0.0000
In 0.2500 0.2500 0.2500
W 0.7500 0.7500 0.7500
Ru 0.5000 0.5000 0.5000